## CoPIr2 (PBE-GGA)

Data for an optimized crystal structure of CoPIr2.

Output
E_form	-5.09	kJ/mol of atoms
total energy	-30.449	eV/cell

Cell: 8.0327 8.0327 8.0327 Å, 19.85 19.85 19.85°
Each line ends with the local moment (μB).
Sites, in units of the cell vectors:
1 Co 0.7602 0.7602 0.7602  1.04
2 Ir 0.0049 0.0049 0.0049  0.63
3 Ir 0.2396 0.2396 0.2396  0.05
4 P 0.4954 0.4954 0.4954  -0.01